No. 1
The following is a PBE calculation of crystalline ZnPd3Au at its relaxed geometry, from Alexandria via LeMat-Bulk.

Computed properties:
Symmetry: Pm-3m, No. 221
Magnetization in μB/cell: 0.00
Energy of formation from the pure elements in meV/atom: 468.4

Structure (extended XYZ):
```
5
Lattice="4.600 0.000 0.000 0.000 4.600 0.000 0.000 0.000 4.600" Properties=species:S:1:pos:R:3 pbc="T T T"
Zn 0.000 0.000 0.000
Pd 0.000 0.000 2.300
Pd 0.000 2.300 0.000
Pd 2.300 0.000 0.000
Au 2.300 2.300 2.300
```

=====

No. 2
The following is a PBE calculation of crystalline Zn5Pd4Au at its relaxed geometry, from Alexandria via LeMat-Bulk.

Computed properties:
Symmetry: P4/mmm, No. 123
Magnetization in μB/cell: 0.00
Energy of formation from the pure elements in meV/atom: -481.2

Structure (extended XYZ):
```
10
Lattice="3.066 0.000 0.000 0.000 3.066 0.000 0.000 0.000 15.741" Properties=species:S:1:pos:R:3 pbc="T T T"
Zn 0.000 0.000 0.000
Zn 0.000 0.000 3.059
Zn 0.000 0.000 6.137
Zn 0.000 0.000 9.604
Zn 0.000 0.000 12.682
Pd 1.533 1.533 1.522
Pd 1.533 1.533 4.595
Pd 1.533 1.533 11.146
Pd 1.533 1.533 14.219
Au 1.533 1.533 7.870
```

=====

No. 3
The following is a PBE calculation of crystalline Zn2PdAu2 at its relaxed geometry, from Alexandria via LeMat-Bulk.

Computed properties:
Symmetry: P4/mbm, No. 127
Magnetization in μB/cell: 0.00
Energy of formation from the pure elements in meV/atom: -199.5

Structure (extended XYZ):
```
10
Lattice="7.157 0.000 0.000 0.000 7.157 0.000 0.000 0.000 3.199" Properties=species:S:1:pos:R:3 pbc="T T T"
Zn 0.997 2.581 0.000
Zn 2.581 6.159 0.000
Zn 4.576 0.997 0.000
Zn 6.159 4.576 0.000
Pd 0.000 0.000 0.000
Pd 3.578 3.578 0.000
Au 1.141 4.720 1.600
Au 2.437 1.141 1.600
Au 4.720 6.015 1.600
Au 6.015 2.437 1.600
```

=====

No. 4
The following is a PBE calculation of crystalline Zn4PdAu5 at its relaxed geometry, from Alexandria via LeMat-Bulk.

Computed properties:
Symmetry: P4/mmm, No. 123
Magnetization in μB/cell: 0.00
Energy of formation from the pure elements in meV/atom: -198.4

Structure (extended XYZ):
```
10
Lattice="3.230 0.000 0.000 0.000 3.230 0.000 0.000 0.000 15.609" Properties=species:S:1:pos:R:3 pbc="T T T"
Zn 0.000 0.000 1.551
Zn 0.000 0.000 4.702
Zn 0.000 0.000 10.906
Zn 0.000 0.000 14.058
Pd 0.000 0.000 7.804
Au 1.615 1.615 0.000
Au 1.615 1.615 3.100
Au 1.615 1.615 6.145
Au 1.615 1.615 9.464
Au 1.615 1.615 12.509
```

=====

No. 5
The following is a PBE calculation of crystalline Zn6PdAu12 at its relaxed geometry, from Alexandria via LeMat-Bulk.

Computed properties:
Symmetry: R-3, No. 148
Magnetization in μB/cell: 0.00
Energy of formation from the pure elements in meV/atom: -139.1

Structure (extended XYZ):
```
19
Lattice="6.023 3.477 2.664 -6.023 3.477 2.664 0.000 -6.955 2.664" Properties=species:S:1:pos:R:3 pbc="T T T"
Zn -1.239 -1.444 2.027
Zn -0.631 1.795 2.027
Zn 1.870 -0.351 2.027
Zn -1.870 0.351 5.966
Zn 0.631 -1.795 5.966
Zn 1.239 1.444 5.966
Pd 0.000 0.000 3.997
Au -0.632 -4.432 2.142
Au -3.522 2.763 2.142
Au -2.822 0.055 3.478
Au -4.154 -1.669 5.851
Au -1.459 -2.417 4.516
Au 1.363 -2.472 3.478
Au -1.363 2.472 4.516
Au 1.459 2.417 3.478
Au 4.154 1.669 2.142
Au 2.822 -0.055 4.516
Au 3.522 -2.763 5.851
Au 0.632 4.432 5.851
```

=====

No. 6
The following is a PBE calculation of crystalline ZnPd14Au at its relaxed geometry, from Alexandria via LeMat-Bulk.

Computed properties:
Symmetry: Amm2, No. 38
Magnetization in μB/cell: 0.00
Energy of formation from the pure elements in meV/atom: -72.4

Structure (extended XYZ):
```
16
Lattice="9.191 0.000 0.000 0.000 2.785 4.828 0.000 -2.785 4.828" Properties=species:S:1:pos:R:3 pbc="T T T"
Zn 0.000 0.000 0.000
Pd 0.000 -1.387 7.246
Pd 0.000 1.387 7.246
Pd 2.271 0.000 1.591
Pd 2.288 -1.405 4.017
Pd 2.288 1.405 4.017
Pd 2.317 0.000 6.436
Pd 4.595 -1.396 5.620
Pd 4.595 0.000 3.206
Pd 4.595 0.000 8.037
Pd 4.595 1.396 5.620
Pd 6.873 0.000 6.436
Pd 6.903 -1.405 4.017
Pd 6.903 1.405 4.017
Pd 6.920 0.000 1.591
Au 0.000 0.000 4.838
```

=====

No. 7
The following is a PBE calculation of crystalline Zn2Pd3Au3 at its relaxed geometry, from Alexandria via LeMat-Bulk.

Computed properties:
Symmetry: Cmcm, No. 63
Magnetization in μB/cell: 0.00
Energy of formation from the pure elements in meV/atom: -221.2

Structure (extended XYZ):
```
16
Lattice="2.073 -4.650 0.000 2.073 4.650 0.000 0.000 0.000 13.686" Properties=species:S:1:pos:R:3 pbc="T T T"
Zn 2.073 2.524 8.738
Zn 2.073 2.524 11.790
Zn 2.073 -2.524 1.895
Zn 2.073 -2.524 4.948
Pd 2.073 4.129 1.345
Pd 2.073 4.129 5.497
Pd 2.073 2.341 3.421
Pd 2.073 -2.341 10.264
Pd 2.073 -4.129 8.188
Pd 2.073 -4.129 12.340
Au 2.073 1.307 0.548
Au 2.073 1.307 6.295
Au 2.073 0.329 10.264
Au 2.073 -0.329 3.421
Au 2.073 -1.307 7.390
Au 2.073 -1.307 13.138
```

=====

No. 8
The following is a PBE calculation of crystalline ZnPd5Au4 at its relaxed geometry, from Alexandria via LeMat-Bulk.

Computed properties:
Symmetry: P4/mmm, No. 123
Magnetization in μB/cell: 0.00
Energy of formation from the pure elements in meV/atom: -187.0

Structure (extended XYZ):
```
10
Lattice="2.904 0.000 0.000 0.000 2.904 0.000 0.000 0.000 19.211" Properties=species:S:1:pos:R:3 pbc="T T T"
Zn 0.000 0.000 0.000
Pd 1.452 1.452 1.628
Pd 1.452 1.452 5.627
Pd 1.452 1.452 9.606
Pd 1.452 1.452 13.584
Pd 1.452 1.452 17.584
Au 0.000 0.000 3.650
Au 0.000 0.000 7.617
Au 0.000 0.000 11.594
Au 0.000 0.000 15.561
```

=====

No. 9
The following is a PBE calculation of crystalline Zn2Pd3Au2 at its relaxed geometry, from Alexandria via LeMat-Bulk.

Computed properties:
Symmetry: C2/m, No. 12
Magnetization in μB/cell: 0.00
Energy of formation from the pure elements in meV/atom: -313.3

Structure (extended XYZ):
```
14
Lattice="8.749 0.000 0.000 0.000 3.990 0.000 -1.312 0.000 6.329" Properties=species:S:1:pos:R:3 pbc="T T T"
Zn 1.550 0.000 1.048
Zn 1.512 1.995 5.281
Zn 5.925 1.995 1.048
Zn 5.887 0.000 5.281
Pd 0.000 1.995 0.000
Pd 0.645 1.995 2.720
Pd 2.417 0.000 3.610
Pd 4.374 0.000 0.000
Pd 5.020 0.000 2.720
Pd 6.792 1.995 3.610
Au -0.188 0.000 4.650
Au 3.250 1.995 1.680
Au 4.186 1.995 4.650
Au 7.625 0.000 1.680
```

=====

No. 10
The following is a PBE calculation of crystalline Zn2Pd8Au3 at its relaxed geometry, from Alexandria via LeMat-Bulk.

Computed properties:
Symmetry: C2/m, No. 12
Magnetization in μB/cell: 0.00
Energy of formation from the pure elements in meV/atom: -122.9

Structure (extended XYZ):
```
13
Lattice="5.132 -4.624 0.000 5.132 4.624 0.000 -1.924 0.000 4.445" Properties=species:S:1:pos:R:3 pbc="T T T"
Zn 1.375 0.000 1.594
Zn 6.964 0.000 2.851
Pd -0.819 0.000 3.542
Pd 2.721 2.261 1.447
Pd 1.813 0.000 4.026
Pd 5.618 2.261 2.998
Pd 2.721 -2.261 1.447
Pd 6.526 0.000 0.419
Pd 5.618 -2.261 2.998
Pd 9.157 0.000 0.903
Au 5.132 2.298 0.000
Au 4.169 0.000 2.222
Au 5.132 -2.298 0.000
```

=====

No. 11
The following is a PBE calculation of crystalline Zn5Pd3Au12 at its relaxed geometry, from Alexandria via LeMat-Bulk.

Computed properties:
Symmetry: Ia-3d, No. 230
Magnetization in μB/cell: 0.00
Energy of formation from the pure elements in meV/atom: 174.4

Structure (extended XYZ):
```
80
Lattice="-7.584 7.584 7.584 7.584 -7.584 7.584 7.584 7.584 -7.584" Properties=species:S:1:pos:R:3 pbc="T T T"
Zn 0.000 0.000 0.000
Zn 3.792 3.792 -3.792
Zn 3.792 -3.792 3.792
Zn 7.584 0.000 0.000
Zn 11.376 1.896 0.000
Zn 7.584 -3.792 5.688
Zn 5.688 7.584 -3.792
Zn 5.688 0.000 3.792
Zn 3.792 5.688 0.000
Zn 7.584 3.792 1.896
Zn -3.792 3.792 3.792
Zn 0.000 7.584 0.000
Zn 0.000 0.000 7.584
Zn 3.792 3.792 3.792
Zn 0.000 3.792 5.688
Zn 3.792 1.896 7.584
Zn 1.896 7.584 3.792
Zn 1.896 0.000 11.376
Zn 0.000 11.376 1.896
Zn -3.792 5.688 7.584
Pd 3.792 1.896 0.000
Pd 7.584 3.792 -1.896
Pd 1.896 0.000 3.792
Pd 9.480 0.000 3.792
Pd 0.000 3.792 1.896
Pd 3.792 -1.896 7.584
Pd 3.792 9.480 0.000
Pd 7.584 3.792 5.688
Pd -1.896 7.584 3.792
Pd 5.688 7.584 3.792
Pd 0.000 3.792 9.480
Pd 3.792 5.688 7.584
Au 2.293 -0.202 1.123
Au 9.084 4.915 -3.995
Au 7.382 -1.123 2.293
Au 11.579 -1.500 2.669
Au 9.877 0.202 1.123
Au 9.084 -2.669 3.995
Au 1.123 2.293 -0.202
Au 10.253 3.590 -1.500
Au 4.915 3.995 -1.500
Au 6.461 2.293 0.202
Au -0.202 1.123 2.293
Au 3.995 -1.500 4.915
Au 7.382 6.461 -2.293
Au 3.995 1.500 2.669
Au 6.461 -2.293 7.382
Au 4.915 -3.995 9.084
Au 2.669 3.995 1.500
Au 8.707 5.292 0.202
Au 2.293 7.382 -1.123
Au 9.084 2.669 3.590
Au 3.995 9.084 -2.669
Au 7.382 1.123 5.292
Au 1.500 2.669 3.995
Au 2.293 0.202 6.461
Au 5.292 7.382 1.123
Au 6.085 4.915 3.590
Au 0.202 6.461 2.293
Au 3.590 -1.500 10.253
Au -1.500 4.915 3.995
Au 5.292 0.202 8.707
Au -1.123 2.293 7.382
Au 4.915 3.590 6.085
Au 2.669 11.579 -1.500
Au 1.123 9.877 0.202
Au 3.590 6.085 4.915
Au 0.202 1.123 9.877
Au 3.590 9.084 2.669
Au 7.787 6.461 5.292
Au 1.123 5.292 7.382
Au 2.669 3.590 9.084
Au -2.669 3.995 9.084
Au 6.461 5.292 7.787
Au -1.500 10.253 3.590
Au -2.293 7.382 6.461
Au -3.995 9.084 4.915
Au 0.202 8.707 5.292
Au -1.500 2.669 11.579
Au 5.292 7.787 6.461
```

=====

No. 12
The following is a PBE calculation of crystalline Zn2Pd5Au5 at its relaxed geometry, from Alexandria via LeMat-Bulk.

Computed properties:
Symmetry: C2/m, No. 12
Magnetization in μB/cell: 0.00
Energy of formation from the pure elements in meV/atom: -230.1

Structure (extended XYZ):
```
12
Lattice="6.159 -2.035 0.000 6.159 2.035 0.000 -4.081 0.000 7.756" Properties=species:S:1:pos:R:3 pbc="T T T"
Zn 1.968 0.000 0.016
Zn 6.269 0.000 7.740
Pd -2.040 0.000 3.878
Pd 0.012 0.000 1.894
Pd -0.044 0.000 5.967
Pd 8.281 0.000 1.789
Pd 8.226 0.000 5.862
Au 2.059 0.000 3.880
Au 4.070 0.000 1.856
Au 6.159 0.000 0.000
Au 4.167 0.000 5.900
Au 6.179 0.000 3.876
```

=====

No. 13
The following is a PBE calculation of crystalline Zn2Pd8Au at its relaxed geometry, from Alexandria via LeMat-Bulk.

Computed properties:
Symmetry: Immm, No. 71
Magnetization in μB/cell: 0.00
Energy of formation from the pure elements in meV/atom: -199.6

Structure (extended XYZ):
```
11
Lattice="-2.058 3.477 6.059 2.058 -3.477 6.059 2.058 3.477 -6.059" Properties=species:S:1:pos:R:3 pbc="T T T"
Zn 0.000 0.000 2.353
Zn 0.000 0.000 9.765
Pd 2.058 1.514 -1.924
Pd 0.000 1.362 0.000
Pd 2.058 0.000 4.201
Pd 2.058 1.514 1.924
Pd 0.000 1.963 4.135
Pd 0.000 3.477 1.858
Pd 0.000 5.592 0.000
Pd 0.000 1.963 7.983
Au 0.000 0.000 6.059
```

=====

No. 14
The following is a PBE calculation of crystalline ZnPd6Au2 at its relaxed geometry, from Alexandria via LeMat-Bulk.

Computed properties:
Symmetry: C2/c, No. 15
Magnetization in μB/cell: 0.00
Energy of formation from the pure elements in meV/atom: -75.5

Structure (extended XYZ):
```
18
Lattice="7.934 -3.680 0.000 7.934 3.680 0.000 -0.745 0.000 5.028" Properties=species:S:1:pos:R:3 pbc="T T T"
Zn 7.375 2.193 3.771
Zn 7.748 -2.193 1.257
Pd 6.440 2.842 0.735
Pd 4.879 2.034 3.087
Pd 9.055 2.842 1.779
Pd 9.872 2.034 4.455
Pd 6.492 0.274 1.767
Pd 6.120 -0.274 4.281
Pd 9.003 0.274 0.746
Pd 8.631 -0.274 3.260
Pd 5.251 -2.034 0.573
Pd 6.068 -2.842 3.248
Pd 10.244 -2.034 1.941
Pd 8.683 -2.842 4.293
Au 4.246 0.551 0.189
Au 3.873 -0.551 2.703
Au 11.249 0.551 2.325
Au 10.877 -0.551 4.839
```

=====

No. 15
The following is a PBE calculation of crystalline ZnPdAu2 at its relaxed geometry, from Alexandria via LeMat-Bulk.

Computed properties:
Symmetry: I-42d, No. 122
Magnetization in μB/cell: 0.00
Energy of formation from the pure elements in meV/atom: -62.8

Structure (extended XYZ):
```
16
Lattice="7.295 0.000 0.000 0.000 7.295 0.000 0.000 0.000 5.366" Properties=species:S:1:pos:R:3 pbc="T T T"
Zn 0.000 0.000 0.000
Zn 0.000 3.648 1.341
Zn 3.648 0.000 4.024
Zn 3.648 3.648 2.683
Pd 0.000 0.000 2.683
Pd 0.000 3.648 4.024
Pd 3.648 0.000 1.341
Pd 3.648 3.648 0.000
Au 1.702 1.824 0.671
Au 1.824 5.349 2.012
Au 1.824 5.594 4.695
Au 1.946 1.824 3.354
Au 5.349 5.472 3.354
Au 5.472 1.702 4.695
Au 5.472 1.946 2.012
Au 5.594 5.472 0.671
```

=====

No. 16
The following is a PBE calculation of crystalline Zn6PdAu at its relaxed geometry, from Alexandria via LeMat-Bulk.

Computed properties:
Symmetry: C2/m, No. 12
Magnetization in μB/cell: 0.00
Energy of formation from the pure elements in meV/atom: -203.7

Structure (extended XYZ):
```
16
Lattice="12.015 0.000 0.000 0.000 4.633 0.000 -1.898 0.000 4.392" Properties=species:S:1:pos:R:3 pbc="T T T"
Zn 1.235 0.000 0.637
Zn 0.380 2.317 2.638
Zn 2.551 2.317 0.898
Zn 1.559 0.000 3.494
Zn 3.730 0.000 1.754
Zn 2.874 2.317 3.755
Zn 7.243 2.317 0.637
Zn 6.388 0.000 2.638
Zn 8.559 0.000 0.898
Zn 7.566 2.317 3.494
Zn 9.737 2.317 1.754
Zn 8.882 0.000 3.755
Pd 0.000 2.317 0.000
Pd 6.008 0.000 0.000
Au -0.949 0.000 2.196
Au 5.059 2.317 2.196
```

=====

No. 17
The following is a PBE calculation of crystalline ZnPdAu6 at its relaxed geometry, from Alexandria via LeMat-Bulk.

Computed properties:
Symmetry: I4/mmm, No. 139
Magnetization in μB/cell: 0.00
Energy of formation from the pure elements in meV/atom: -110.6

Structure (extended XYZ):
```
16
Lattice="4.072 0.000 0.000 0.000 4.072 0.000 0.000 0.000 16.677" Properties=species:S:1:pos:R:3 pbc="T T T"
Zn 0.000 0.000 0.000
Zn 2.036 2.036 8.339
Pd 0.000 0.000 8.339
Pd 2.036 2.036 0.000
Au 0.000 0.000 4.219
Au 0.000 0.000 12.458
Au 0.000 2.036 1.986
Au 0.000 2.036 6.353
Au 0.000 2.036 10.325
Au 0.000 2.036 14.691
Au 2.036 0.000 1.986
Au 2.036 0.000 6.353
Au 2.036 0.000 10.325
Au 2.036 0.000 14.691
Au 2.036 2.036 4.120
Au 2.036 2.036 12.557
```

=====

No. 18
The following is a PBE calculation of crystalline Zn8Pd2Au at its relaxed geometry, from Alexandria via LeMat-Bulk.

Computed properties:
Symmetry: C2/m, No. 12
Magnetization in μB/cell: 0.00
Energy of formation from the pure elements in meV/atom: -180.4

Structure (extended XYZ):
```
11
Lattice="3.467 -6.559 0.000 3.467 6.559 0.000 -2.820 0.000 3.734" Properties=species:S:1:pos:R:3 pbc="T T T"
Zn -0.399 1.740 2.662
Zn 3.467 3.946 0.000
Zn -0.399 -1.740 2.662
Zn 2.521 0.000 0.789
Zn 1.593 0.000 2.946
Zn 4.513 1.740 1.072
Zn 3.467 -3.946 0.000
Zn 4.513 -1.740 1.072
Pd 2.057 2.484 1.867
Pd 2.057 -2.484 1.867
Au 0.000 0.000 0.000
```